A plane-wave DFT calculation with PBE+U was carried out for an optimized crystal structure of InPWO2.

Summary:
For the volume, the calculation gives 87.9 Å³/f.u. Its total DFT energy (no corrections) is -4.8311 eV/atom.

Cell lengths 4.011, 4.011, 5.464 Å; angles 90.00, 90.00, 90.00 degrees
Space group P4/mmm (No. 123)
Inequivalent atoms, fractional coordinates:
In  0.000  0.000  0.000
P  0.000  0.000  0.500
W  0.500  0.500  0.500
O  0.000  0.500  0.000